(1)
Computed, not measured: an optimized crystal structure of Ca2CoW at the PBE-GGA level of DFT.

E_tot   -0.40059 Ry/atom
Symmetry   No. 44
Crystal system   orthorhombic

a b c (Å): 5.9983 5.9983 5.9983
angles (deg): 146.37 129.17 62.34
With the nearest neighbours (Å) after each atom.
Element x y z (fractional)
1 Ca 0.0000 0.0000 0.0000  4 Co 3.20-3.55, 4 W 3.26, 6 Ca 3.36-3.47
2 Ca 0.7110 0.2110 0.5000  4 Co 3.15, 2 W 3.25, 6 Ca 3.36-3.47
3 Co 0.2617 0.7617 0.5000  2 W 2.27
4 W 0.4038 0.4038 0.0000  2 Co 2.27

---

(2)
Computed, not measured: an optimized crystal structure of Ca2CoW at the PBE-GGA level of DFT.

E_tot   -0.40559 Ry/atom
Symmetry   No. 71
Crystal system   orthorhombic

a b c (Å): 8.7949 8.7949 8.7949
angles (deg): 158.63 156.29 32.13
With the nearest neighbours (Å) after each atom.
Element x y z (fractional)
1 Ca 0.1511 0.1511 0.0000  2 Co 3.03, 2 W 3.13, 2 Ca 3.26
2 Ca 0.8489 0.8489 0.0000  2 Co 3.03, 2 W 3.13, 2 Ca 3.26
3 Co 0.0000 0.5000 0.5000  4 W 2.43
4 W 0.5000 0.0000 0.5000  4 Co 2.43

---

Number 1: distance to the lowest polymorph of the same formula 0.180 eV/atom, density of states at the Fermi level 5.51 states/eV/cell, ΔH_f (0 K) 2.26 eV/f.u.. Number 2: distance to the lowest polymorph of the same formula 0.112 eV/atom, density of states at the Fermi level 3.88 states/eV/cell, ΔH_f (0 K) 1.99 eV/f.u..